#A
VASP calculation (PBE-GGA) on an optimized crystal structure of NdYNiPt.

Fermi-level density of states	4.30	states/eV per cell
M_tot	0.000	μB/atom

Geometry as extended XYZ:
```
4
Lattice="0.0000 3.5135 3.5135 3.5135 0.0000 3.5135 3.5135 3.5135 0.0000" Properties=species:S:1:pos:R:3 pbc="T T T"
Nd 0.0000 0.0000 0.0000
Y 3.5135 3.5135 3.5135
Ni 1.7567 1.7567 1.7567
Pt 5.2702 5.2702 5.2702
```

=====

#B
VASP calculation (PBE-GGA) on an optimized crystal structure of NdYNiPt.

Fermi-level density of states	2.65	states/eV per cell
M_tot	0.000	μB/atom

Geometry as extended XYZ:
```
4
Lattice="4.4299 0.0000 0.0000 0.0000 1.9552 5.1886 0.0000 -1.9552 5.1886" Properties=species:S:1:pos:R:3 pbc="T T T"
Nd 0.0000 0.0000 0.0000
Y 2.2149 0.0000 2.9071
Ni 0.0000 0.0000 7.4831
Pt 2.2149 0.0000 5.8857
```

=====

Quick one: least stable of them? #A

=====

#A
VASP calculation (PBE-GGA) on an optimized crystal structure of NdPuNi.

Fermi-level density of states	10.42	states/eV per cell
M_tot	2.030	μB/atom

Geometry as extended XYZ:
```
3
Lattice="-1.7311 1.7311 6.0410 1.7311 -1.7311 6.0410 1.7311 1.7311 -6.0410" Properties=species:S:1:pos:R:3 pbc="T T T"
Nd 0.0000 0.0000 0.0000
Pu 0.0000 0.0000 3.2727
Ni 0.0000 0.0000 7.7584
```

=====

#B
VASP calculation (PBE-GGA) on an optimized crystal structure of NdPuNi.

Fermi-level density of states	10.05	states/eV per cell
M_tot	1.932	μB/atom

Geometry as extended XYZ:
```
3
Lattice="4.5937 0.0000 0.0000 -2.2969 3.9783 0.0000 0.0000 0.0000 3.8897" Properties=species:S:1:pos:R:3 pbc="T T T"
Nd 0.0000 0.0000 0.0000
Pu 2.2969 1.3261 2.1095
Ni 0.0000 2.6522 1.4756
```

=====

#C
VASP calculation (PBE-GGA) on an optimized crystal structure of NdPuNi.

Fermi-level density of states	17.05	states/eV per cell
M_tot	2.021	μB/atom

Geometry as extended XYZ:
```
6
Lattice="4.9727 0.0000 0.0000 0.0000 5.8738 2.4697 0.0000 -5.8738 2.4697" Properties=species:S:1:pos:R:3 pbc="T T T"
Nd 0.0000 -4.2380 2.4697
Nd 0.0000 4.2380 2.4697
Pu 2.4864 -1.5489 2.4970
Pu 2.4864 1.5489 2.4970
Ni 0.0000 0.0000 2.4519
Ni 2.4864 0.0000 0.0554
```

=====

Quick one: least stable of them? #B